Entry 1:
This record from OQMD describes an optimized crystal structure of CuHgBiW. The functional is PBE.

Properties
- M_tot: 2.63 μB/f.u.
- Space-group type: F-43m
- E: -16.5 eV per cell

Cell lengths 4.893, 4.893, 4.893 Å; angles 60.00, 60.00, 60.00 degrees
Fractional positions:
Bi (0.000, 0.000, 0.000)
Cu (0.250, 0.250, 0.250)
Hg (0.750, 0.750, 0.750)
W (0.500, 0.500, 0.500)


Entry 2:
This record from OQMD describes an optimized crystal structure of NdTlInTe3. The functional is PBE.

Properties
- M_tot: 0.02 μB/f.u.
- Space-group type: Cmcm
- E: -46.7 eV per cell

Cell lengths 8.028, 8.028, 11.673 Å; angles 90.00, 90.00, 146.75 degrees
Fractional positions:
In (0.968, 0.032, 0.250)
In (0.032, 0.968, 0.750)
Nd (0.500, 0.500, 0.000)
Nd (0.500, 0.500, 0.500)
Te (0.858, 0.142, 0.045)
Te (0.594, 0.406, 0.250)
Te (0.858, 0.142, 0.455)
Te (0.142, 0.858, 0.545)
Te (0.406, 0.594, 0.750)
Te (0.142, 0.858, 0.955)
Tl (0.267, 0.733, 0.250)
Tl (0.733, 0.267, 0.750)


Entry 3:
This record from OQMD describes an optimized crystal structure of K3DyCl6. The functional is PBE.

Properties
- M_tot: 0.00 μB/f.u.
- Space-group type: P2_1/c
- E: -80.7 eV per cell

Cell lengths 7.459, 7.904, 12.909 Å; angles 90.00, 124.21, 90.00 degrees
Fractional positions:
Cl (0.341, 0.181, 0.057)
Cl (0.246, 0.724, 0.077)
Cl (0.098, 0.057, 0.228)
Cl (0.902, 0.557, 0.272)
Cl (0.754, 0.224, 0.423)
Cl (0.659, 0.681, 0.443)
Cl (0.341, 0.319, 0.557)
Cl (0.246, 0.776, 0.577)
Cl (0.098, 0.443, 0.728)
Cl (0.902, 0.943, 0.772)
Cl (0.754, 0.276, 0.923)
Cl (0.659, 0.819, 0.943)
Dy (0.000, 0.000, 0.000)
Dy (0.000, 0.500, 0.500)
K (0.500, 0.500, 0.000)
K (0.714, 0.928, 0.243)
K (0.286, 0.428, 0.257)
K (0.500, 0.000, 0.500)
K (0.714, 0.572, 0.743)
K (0.286, 0.072, 0.757)


Q: Which of these has the highest M_tot?
A: CuHgBiW


Q: Which formula does entry 1 have?
A: CuHgBiW


Q: Which value of E does entry 1 give?
A: -16.5 eV per cell